Here is BaFe2SnS after structural relaxation from Alexandria via LeMat-Bulk. Energies are from GGA-PBE.

Structure (extended XYZ):
```
5
Lattice="4.421 0.000 0.000 0.000 4.421 0.000 0.000 0.000 5.490" Properties=species:S:1:pos:R:3 pbc="T T T"
Ba 0.000 0.000 0.000
Fe 0.000 2.211 2.745
Fe 2.211 0.000 2.745
Sn 2.211 2.211 0.000
S 2.211 2.211 2.745
```

Properties
* formation energy from raw total energies: 0.360 eV/atom

---

Here is CeH3Ir after structural relaxation from Alexandria via LeMat-Bulk. Energies are from GGA-PBE.

Structure (extended XYZ):
```
5
Lattice="3.753 0.000 0.000 0.000 3.753 0.000 0.000 0.000 3.753" Properties=species:S:1:pos:R:3 pbc="T T T"
Ce 0.000 0.000 0.000
H 0.000 1.876 1.876
H 1.876 0.000 1.876
H 1.876 1.876 0.000
Ir 1.876 1.876 1.876
```

Properties
* total DFT energy (no corrections): -5.427 eV/atom

---

Here is UCrC after structural relaxation from Alexandria via LeMat-Bulk. Energies are from GGA-PBE.

Structure (extended XYZ):
```
3
Lattice="3.532 0.000 0.000 -1.766 3.059 0.000 0.000 0.000 3.702" Properties=species:S:1:pos:R:3 pbc="T T T"
U 0.000 0.000 0.000
Cr 1.766 1.020 1.851
C 0.000 2.039 1.851
```

Properties
* energy of formation from the pure elements: 0.2266 eV per atom

---

Here is ScHgPb3 after structural relaxation from Alexandria via LeMat-Bulk. Energies are from GGA-PBE.

Structure (extended XYZ):
```
5
Lattice="5.650 0.000 0.000 0.000 5.650 0.000 0.000 0.000 5.650" Properties=species:S:1:pos:R:3 pbc="T T T"
Sc 0.000 0.000 0.000
Hg 2.825 2.825 2.825
Pb 0.000 2.825 2.825
Pb 2.825 0.000 2.825
Pb 2.825 2.825 0.000
```

Properties
* energy of formation from the pure elements: 0.5763 eV per atom

---

Here is Y6ErTh after structural relaxation from Alexandria via LeMat-Bulk. Energies are from GGA-PBE.

Structure (extended XYZ):
```
8
Lattice="5.058 0.000 0.000 0.000 5.058 0.000 0.000 0.000 10.049" Properties=species:S:1:pos:R:3 pbc="T T T"
Y 0.000 0.000 0.000
Y 0.000 0.000 5.024
Y 0.000 2.529 2.497
Y 0.000 2.529 7.552
Y 2.529 0.000 2.497
Y 2.529 0.000 7.552
Er 2.529 2.529 5.024
Th 2.529 2.529 0.000
```

Properties
* energy of formation from the pure elements: 0.0396 eV per atom

---

Here is Al5Rh after structural relaxation from Alexandria via LeMat-Bulk. Energies are from GGA-PBE.

Structure (extended XYZ):
```
6
Lattice="4.841 0.000 0.000 -2.421 4.193 0.000 0.000 0.000 4.518" Properties=species:S:1:pos:R:3 pbc="T T T"
Al -1.642 2.844 0.000
Al 0.778 1.348 0.000
Al 0.000 2.795 2.259
Al 2.421 1.398 2.259
Al 3.285 0.000 0.000
Rh 0.000 0.000 2.259
```

Properties
* energy of formation from the pure elements: -0.3169 eV per atom